7
Lattice="5.4155 0.0000 0.0000 0.0000 5.4155 0.0000 0.0000 0.0000 7.9187" Properties=species:S:1:pos:R:3 comment="LaPr2Tl4 (PBE, optimized geometry)" formation_energy_mev_per_atom=-236 dos_ef_per_ev_atom=1.03 pbc="T T T"
La 0.0000 0.0000 0.0000
Pr 0.0000 0.0000 3.9594
Pr 2.7078 2.7078 0.0000
Tl 0.0000 2.7078 2.1352
Tl 0.0000 2.7078 5.7835
Tl 2.7078 0.0000 2.1352
Tl 2.7078 0.0000 5.7835



6
Lattice="4.6080 0.0000 0.0000 0.0000 1.3866 7.2946 0.0000 -1.3866 7.2946" Properties=species:S:1:pos:R:3 comment="RePt5 (PBE, optimized geometry)" formation_energy_mev_per_atom=-13 dos_ef_per_ev_atom=1.29 polymorph_energy_mev_per_atom=84 pbc="T T T"
Re 0.0000 0.0000 0.0000
Pt 0.0000 0.0000 4.9429
Pt 0.0000 0.0000 9.6418
Pt 2.3040 0.0000 3.3266
Pt 2.3040 0.0000 8.1516
Pt 2.3040 0.0000 13.0544



18
Lattice="7.6708 0.0000 0.0000 0.0000 7.6945 0.0000 -2.5282 0.0000 7.1789" Properties=species:S:1:pos:R:3 comment="Tb3Y2Pt4 (PBE, optimized geometry)" formation_energy_mev_per_atom=-1155 dos_ef_per_ev_atom=0.61 pbc="T T T"
Tb 0.0000 0.0000 0.0000
Tb -1.2641 3.8473 3.5895
Tb 0.0737 1.2828 5.4041
Tb 1.3378 2.5644 1.8147
Tb 3.8048 5.1301 5.3643
Tb 5.0689 6.4117 1.7748
Y 0.0148 5.2347 6.6264
Y 1.2788 6.3070 3.0370
Y 3.8638 1.3875 4.1420
Y 5.1279 2.4598 0.5525
Pt -0.2479 4.8848 0.9387
Pt -1.5120 6.6570 4.5281
Pt 2.7929 0.2563 1.0507
Pt 1.5288 3.5910 4.6402
Pt 3.6138 4.1035 2.5388
Pt 2.3497 7.4383 6.1282
Pt 6.6546 1.0376 2.6508
Pt 5.3905 2.8097 6.2403



8
Lattice="-1.7183 1.7183 12.1153 1.7183 -1.7183 12.1153 1.7183 1.7183 -12.1153" Properties=species:S:1:pos:R:3 comment="CaSi2F (PBE, optimized geometry)" dos_ef_per_ev_atom=0.31 e_form_raw_mev_per_atom=-1208 polymorph_energy_mev_per_atom=0 pbc="T T T"
Ca 0.0000 0.0000 0.0000
Ca 0.0000 1.7183 6.0577
Si 0.8592 0.8350 -3.0288
Si 0.8833 -0.8592 15.1442
Si 0.8592 0.8833 9.0865
Si 0.8350 2.5775 3.0288
F 1.7183 0.0000 6.0577
F 0.0000 0.0000 12.1153



18
Lattice="4.6818 2.7030 4.3098 -4.6818 2.7030 4.3098 0.0000 -5.4061 4.3098" Properties=species:S:1:pos:R:3 comment="LiCa2Al3Zn12 (PBE, optimized geometry)" formation_energy_mev_per_atom=-12 dos_ef_per_ev_atom=0.43 pbc="T T T"
Li 0.0000 0.0000 0.0000
Ca 0.0000 0.0000 3.7125
Ca 0.0000 0.0000 9.2170
Al -4.6818 0.0000 6.4648
Al -2.3409 1.3515 2.1549
Al 2.3409 1.3515 2.1549
Zn -2.1044 -1.2150 5.6214
Zn 0.0000 -2.8615 4.8375
Zn -2.4781 1.4307 4.8375
Zn -2.4781 -1.4307 8.0920
Zn 0.0000 -2.4300 7.3081
Zn -2.1044 1.2150 7.3081
Zn 2.1044 -1.2150 5.6214
Zn 0.0000 2.4300 5.6214
Zn 2.4781 1.4307 4.8375
Zn 2.4781 -1.4307 8.0920
Zn 0.0000 2.8615 8.0920
Zn 2.1044 1.2150 7.3081



4
Lattice="0.0000 3.5653 3.5653 3.5653 0.0000 3.5653 3.5653 3.5653 0.0000" Properties=species:S:1:pos:R:3 comment="ErPuInRu (PBE, optimized geometry)" formation_energy_mev_per_atom=-129 dos_ef_per_ev_atom=1.87 polymorph_energy_mev_per_atom=192 pbc="T T T"
Er 0.0000 0.0000 0.0000
Pu 3.5653 3.5653 3.5653
In 5.3480 5.3480 5.3480
Ru 1.7827 1.7827 1.7827



5
Lattice="5.1276 0.0000 0.0000 0.0000 5.1276 0.0000 0.0000 0.0000 4.7717" Properties=species:S:1:pos:R:3 comment="KMg2GeRu (PBE, optimized geometry)" formation_energy_mev_per_atom=-102 dos_ef_per_ev_atom=0.33 pbc="T T T"
K 0.0000 0.0000 0.0000
Mg 0.0000 2.5638 2.3858
Mg 2.5638 0.0000 2.3858
Ge 2.5638 2.5638 0.0000
Ru 2.5638 2.5638 2.3858



12
Lattice="-3.7825 3.7825 4.9463 3.7825 -3.7825 4.9463 3.7825 3.7825 -4.9463" Properties=species:S:1:pos:R:3 comment="Li8Mg3Al (PBE, optimized geometry)" formation_energy_mev_per_atom=219 dos_ef_per_ev_atom=0.50 pbc="T T T"
Li 2.8024 2.8024 -2.2906
Li 1.8103 -1.8103 4.6849
Li 1.9723 1.9723 0.2615
Li 0.9802 0.9802 2.6557
Li 0.9802 -0.9802 7.2370
Li -1.8103 1.8103 4.6849
Li 1.8103 1.8103 5.2078
Li -0.9802 0.9802 7.2370
Mg 0.0000 0.0000 0.0000
Mg 3.7825 0.0000 2.4732
Mg 0.0000 3.7825 2.4732
Al 0.0000 0.0000 4.9463



10
Lattice="-3.6498 3.6498 5.7670 3.6498 -3.6498 5.7670 3.6498 3.6498 -5.7670" Properties=species:S:1:pos:R:3 comment="Rb2TcCBr6 (PBE, optimized geometry)" dos_ef_per_ev_atom=0.19 e_form_raw_mev_per_atom=-266 pbc="T T T"
Rb 3.6498 0.0000 2.8835
Rb 0.0000 3.6498 2.8835
Tc 0.0000 0.0000 0.0000
C 0.0000 0.0000 5.7670
Br 0.0000 0.0000 2.5447
Br 1.8634 1.8634 0.0000
Br 1.7864 -1.7864 5.7670
Br -1.7864 1.7864 5.7670
Br 1.7864 1.7864 5.7670
Br 0.0000 0.0000 8.9893



9
Lattice="6.3739 0.0000 0.0000 3.1749 7.0985 0.0000 0.5841 2.0860 8.9105" Properties=species:S:1:pos:R:3 comment="K2Rb3Cd4 (PBE, optimized geometry)" formation_energy_mev_per_atom=4 dos_ef_per_ev_atom=0.71 pbc="T T T"
K 1.6055 0.4243 1.6520
K 8.5274 8.7602 7.2585
Rb 1.9926 4.7234 7.0168
Rb 5.0664 4.5922 4.4552
Rb 8.1403 4.4611 1.8937
Cd 2.2432 1.2592 5.3287
Cd 5.2513 6.7804 7.9689
Cd 4.8816 2.4041 0.9416
Cd 7.8896 7.9253 3.5818



4
Lattice="3.5110 -4.9057 0.0000 3.5110 4.9057 0.0000 0.0000 0.0000 3.4988" Properties=species:S:1:pos:R:3 comment="HoTh2Sc (PBE, optimized geometry)" formation_energy_mev_per_atom=53 dos_ef_per_ev_atom=1.40 polymorph_energy_mev_per_atom=14 pbc="T T T"
Ho 0.0000 0.0000 0.0000
Th 1.7555 2.4529 1.7494
Th 1.7555 -2.4529 1.7494
Sc 3.5110 0.0000 0.0000



8
Lattice="-2.9493 2.9493 4.2193 2.9493 -2.9493 4.2193 2.9493 2.9493 -4.2193" Properties=species:S:1:pos:R:3 comment="HfGaAu2 (PBE, optimized geometry)" formation_energy_mev_per_atom=-344 dos_ef_per_ev_atom=0.60 pbc="T T T"
Hf 0.0000 0.0000 2.1096
Hf 0.0000 0.0000 6.3289
Ga 2.9493 0.0000 2.1096
Ga 0.0000 2.9493 2.1096
Au 4.1614 1.2120 0.0000
Au 1.2120 1.7373 0.0000
Au 1.7373 1.2120 4.2193
Au -1.2120 1.7373 4.2193



6
Lattice="0.0000 3.8141 3.8141 3.8141 0.0000 3.8141 3.8141 3.8141 0.0000" Properties=species:S:1:pos:R:3 comment="BeCoAu4 (PBE, optimized geometry)" formation_energy_mev_per_atom=658 dos_ef_per_ev_atom=0.91 pbc="T T T"
Be 0.0000 0.0000 0.0000
Co 1.9071 1.9071 1.9071
Au 4.7677 2.8605 2.8605
Au 2.8605 4.7677 2.8605
Au 2.8605 2.8605 4.7677
Au 4.7677 4.7677 4.7677



16
Lattice="5.9766 0.0000 0.0000 0.0000 5.8756 0.0000 -0.3372 0.0000 5.4344" Properties=species:S:1:pos:R:3 comment="LiCuF2 (PBE, optimized geometry)" e_form_raw_mev_per_atom=-1997 pbc="T T T"
Li 0.3444 0.9383 1.6755
Li 0.1758 1.9995 4.3927
Li 5.4635 3.8761 1.0417
Li 5.2949 4.9373 3.7589
Cu 2.3011 4.3169 5.0964
Cu 2.4697 4.4965 2.3792
Cu 3.1696 1.3791 3.0552
Cu 3.3382 1.5587 0.3380
F 0.5014 3.8521 4.8913
F 0.6700 4.9613 2.1741
F 1.5911 0.9562 0.1389
F 1.4225 1.9816 2.8561
F 4.2168 3.8940 2.5783
F 4.0482 4.9194 5.2955
F 4.9693 0.9143 3.2603
F 5.1379 2.0235 0.5431



20
Lattice="10.2695 0.0000 0.0000 0.0000 5.6121 0.0000 -1.2692 0.0000 11.3803" Properties=species:S:1:pos:R:3 comment="NdEr6Th3 (PBE, optimized geometry)" formation_energy_mev_per_atom=183 dos_ef_per_ev_atom=1.22 pbc="T T T"
Nd 0.1199 1.4030 3.7633
Nd 8.8804 4.2091 7.6170
Er 0.6806 1.4030 7.9147
Er 1.4753 4.2091 2.1501
Er 1.3028 4.2091 5.3281
Er 1.0736 4.2091 10.4721
Er 3.3351 1.4030 2.6030
Er 3.4796 1.4030 10.2453
Er 5.5207 4.2091 1.1350
Er 5.6651 4.2091 8.7773
Er 7.9267 1.4030 0.9082
Er 7.6974 1.4030 6.0521
Er 7.5250 1.4030 9.2302
Er 8.3197 4.2091 3.4656
Th 1.0181 1.4030 0.2171
Th 2.7979 4.2091 7.9866
Th 3.9678 1.4030 6.4497
Th 5.0324 4.2091 4.9306
Th 6.2024 1.4030 3.3937
Th 7.9821 4.2091 11.1632



6
Lattice="0.0000 3.4399 3.4399 3.4399 0.0000 3.4399 3.4399 3.4399 0.0000" Properties=species:S:1:pos:R:3 comment="PuCuNi4 (PBE, optimized geometry)" formation_energy_mev_per_atom=-144 dos_ef_per_ev_atom=2.47 pbc="T T T"
Pu 0.0000 0.0000 0.0000
Cu 5.1598 5.1598 5.1598
Ni 2.5865 2.5865 2.5865
Ni 4.2933 4.2933 2.5865
Ni 4.2933 2.5865 4.2933
Ni 2.5865 4.2933 4.2933



8
Lattice="6.0478 0.0000 0.0000 0.0000 6.0478 0.0000 0.0000 0.0000 6.0478" Properties=species:S:1:pos:R:3 comment="AcPm3Se4 (PBE, optimized geometry)" dos_ef_per_ev_atom=0.67 e_form_raw_mev_per_atom=-1800 polymorph_energy_mev_per_atom=27 pbc="T T T"
Ac 0.0000 0.0000 0.0000
Pm 0.0000 3.0239 3.0239
Pm 3.0239 0.0000 3.0239
Pm 3.0239 3.0239 0.0000
Se 0.0000 0.0000 3.0239
Se 0.0000 3.0239 0.0000
Se 3.0239 0.0000 0.0000
Se 3.0239 3.0239 3.0239



10
Lattice="-3.7006 3.7006 4.5469 3.7006 -3.7006 4.5469 3.7006 3.7006 -4.5469" Properties=species:S:1:pos:R:3 comment="RbCl3F (PBE, optimized geometry)" dos_ef_per_ev_atom=0.01 e_form_raw_mev_per_atom=-545 polymorph_energy_mev_per_atom=0 pbc="T T T"
Rb 3.7006 0.0000 2.2735
Rb 0.0000 3.7006 2.2735
Cl 0.0000 0.0000 1.9944
Cl 2.0710 2.0710 0.0000
Cl 1.6296 -1.6296 4.5469
Cl -1.6296 1.6296 4.5469
Cl 1.6296 1.6296 4.5469
Cl 0.0000 0.0000 7.0995
F 0.0000 0.0000 0.0000
F 0.0000 0.0000 4.5469



4
Lattice="0.0000 4.1863 4.1863 4.1863 0.0000 4.1863 4.1863 4.1863 0.0000" Properties=species:S:1:pos:R:3 comment="K2SrB (PBE, optimized geometry)" formation_energy_mev_per_atom=1181 dos_ef_per_ev_atom=0.91 polymorph_energy_mev_per_atom=361 pbc="T T T"
K 2.0931 2.0931 2.0931
K 6.2794 6.2794 6.2794
Sr 0.0000 0.0000 0.0000
B 4.1863 4.1863 4.1863



5
Lattice="5.2276 0.0000 0.0000 0.0000 5.2276 0.0000 0.0000 0.0000 5.2276" Properties=species:S:1:pos:R:3 comment="CdIn3Pt (PBE, optimized geometry)" formation_energy_mev_per_atom=-130 dos_ef_per_ev_atom=0.36 polymorph_energy_mev_per_atom=0 pbc="T T T"
Cd 0.0000 0.0000 0.0000
In 0.0000 2.6138 2.6138
In 2.6138 0.0000 2.6138
In 2.6138 2.6138 0.0000
Pt 2.6138 2.6138 2.6138